A plane-wave DFT calculation with PBE+U was carried out for a relaxed FeSiIrF2 crystal. Values from VASP.

The structure in Quantum ESPRESSO input format:
```
&SYSTEM
  ibrav = 0, nat = 5, ntyp = 4
/
ATOMIC_SPECIES
Si 28.09 Si.upf
Ir 192.22 Ir.upf
Fe 55.84 Fe.upf
F 19.00 F.upf
CELL_PARAMETERS angstrom
4.184 0.000 0.000
0.000 4.789 0.000
0.000 0.000 4.184
ATOMIC_POSITIONS crystal
Si 0.000 0.500 0.000
Ir 0.000 0.000 0.000
Fe 0.500 0.500 0.500
F 0.000 0.000 0.500
F 0.500 0.000 0.000
```

Computed properties:
- spin magnetization (μB per cell) = 3.6
- electronic total energy (eV per atom) = -4.828